No. 1
Below is a relaxed ScCuHg2O crystal, with properties calculated at the PBE level.

Cell lengths 4.798, 4.950, 4.798 Å; angles 90.00, 90.00, 90.00 degrees
Atoms (fractional coordinates):
Sc 0.000 0.500 0.000
O 0.500 0.500 0.500
Hg 0.000 0.000 0.500
Hg 0.500 0.000 0.000
Cu 0.000 0.000 0.000

- E (eV/atom) = -2.864
- D(E_F) (states/eV/cell) = 2.82
- SG = P4/mmm, No. 123

---

No. 2
Below is a relaxed SrCu2HgO crystal, with properties calculated at the PBE level.

Cell lengths 5.694, 6.577, 5.694 Å; angles 90.00, 90.00, 90.00 degrees
Site moments in Bohr magnetons follow the coordinates.
Atoms (fractional coordinates):
O 0.500 0.500 0.500  0.18
Sr 0.000 0.000 0.000  0.02
Hg 0.000 0.500 0.000  0.00
Cu 0.000 0.000 0.500  0.07
Cu 0.500 0.000 0.000  0.04

- E (eV/atom) = -1.688
- D(E_F) (states/eV/cell) = 11.32
- SG = P4/mmm, No. 123

---

No. 3
Below is a relaxed TaCuHg2O crystal, with properties calculated at the PBE level.

Cell lengths 5.092, 3.840, 5.092 Å; angles 90.00, 90.00, 90.00 degrees
Atoms (fractional coordinates):
O 0.000 0.000 0.000
Hg 0.000 0.000 0.500
Hg 0.500 0.000 0.000
Cu 0.500 0.500 0.500
Ta 0.000 0.500 0.000

- E (eV/atom) = -4.084
- D(E_F) (states/eV/cell) = 4.09
- SG = P4/mmm, No. 123